[1]
A plane-wave DFT calculation with PBE was carried out for PmHoBi4 after structural relaxation.

```
PmHoBi4
1.0
4.4818 -4.6458 0.0000
4.4818 4.6458 0.0000
0.0000 0.0000 5.6787
Bi Ho Pm
4 1 1
direct
0.6648 0.6648 0.0000
0.8405 0.1595 0.5000
0.1595 0.8405 0.5000
0.3352 0.3352 0.0000
0.0000 0.0000 0.0000
0.5000 0.5000 0.5000
```

Results
The space-group type is Cmmm.


[2]
A plane-wave DFT calculation with PBE was carried out for PrHo2Bi3 after structural relaxation.

```
PrHo2Bi3
1.0
4.5072 0.0000 0.0000
-2.2536 3.9033 0.0000
0.0000 0.0000 11.0601
Bi Pr Ho
3 1 2
direct
0.3333 0.6667 0.3240
0.6667 0.3333 0.6760
0.0000 0.0000 0.0000
0.0000 0.0000 0.5000
0.6667 0.3333 0.1619
0.3333 0.6667 0.8381
```

Results
The space-group type is P-3m1.


[3]
A plane-wave DFT calculation with PBE was carried out for Pr2HoBi3 after structural relaxation.

```
Pr2HoBi3
1.0
-3.1528 -2.4897 2.1356
4.2795 0.0614 1.5432
-2.4775 8.7327 6.5227
Bi Pr Ho
3 2 1
direct
0.0000 0.0000 0.0000
0.3333 0.6667 0.3432
0.6667 0.3333 0.6568
0.6667 0.3333 0.1726
0.3333 0.6667 0.8274
0.0000 0.0000 0.5000
```

Results
The space-group type is P-3m1.


[4]
A plane-wave DFT calculation with PBE was carried out for Ho3BiS2 after structural relaxation.

```
Ho3BiS2
1.0
4.0616 0.0000 0.0000
-2.0308 3.5175 0.0000
0.0000 0.0000 9.9873
Ho S Bi
3 2 1
direct
0.6667 0.3333 0.7025
0.0000 0.0000 0.0000
0.3333 0.6667 0.2975
0.3333 0.6667 0.8489
0.6667 0.3333 0.1511
0.0000 0.0000 0.5000
```

Results
The space-group type is P-3m1.


[5]
A plane-wave DFT calculation with PBE was carried out for HoBiSb after structural relaxation.

```
HoBiSb
1.0
4.4868 -2.1289 -1.5571
0.3649 -5.1575 -0.5952
0.3920 -2.0480 -4.7686
Bi Sb Ho
1 1 1
direct
0.2500 0.2500 0.2500
0.0000 0.0000 0.0000
0.7500 0.7500 0.7500
```

Results
The space-group type is F-43m.


[6]
A plane-wave DFT calculation with PBE was carried out for HoScBi after structural relaxation.

```
HoScBi
1.0
2.9357 -3.0667 2.9631
-1.4175 -1.0174 4.8742
-1.6671 -4.7321 1.2768
Sc Bi Ho
1 1 1
direct
0.0000 0.0000 0.0000
0.5000 0.5000 0.5000
0.2500 0.2500 0.2500
```

Results
The space-group type is F-43m.


[7]
A plane-wave DFT calculation with PBE was carried out for HoScBi after structural relaxation.

```
HoScBi
1.0
4.8554 1.2921 -0.1739
1.7215 3.7057 2.9289
3.0228 -1.0571 3.8755
Ho Sc Bi
1 1 1
direct
0.2500 0.2500 0.2500
0.7500 0.7500 0.7500
0.0000 0.0000 0.0000
```

Results
The space-group type is F-43m.


[8]
A plane-wave DFT calculation with PBE was carried out for HoScBi after structural relaxation.

```
HoScBi
1.0
4.4037 0.0000 0.0000
0.0000 4.4032 0.0000
-0.0003 0.0000 8.3006
Bi Ho Sc
2 2 2
direct
0.7499 0.2500 0.2288
0.2501 0.7500 0.7712
0.2499 0.7500 0.1561
0.7501 0.2500 0.8439
0.2500 0.2500 0.5000
0.7500 0.7500 0.5000
```

Results
The space-group type is P4/nmm.


[9]
A plane-wave DFT calculation with PBE was carried out for SmHoSc2Bi2 after structural relaxation.

```
SmHoSc2Bi2
1.0
-6.2464 -6.3258 0.0851
-8.4950 -0.9652 2.4380
6.4487 4.5173 -4.1290
Bi Sm Sc Ho
2 1 2 1
direct
0.8698 0.8698 0.0000
0.1301 0.1301 0.0000
0.3234 0.3234 0.0000
0.0006 0.5006 0.5000
0.5006 0.0006 0.5000
0.6754 0.6754 0.0000
```

Results
The space-group type is I4mm.


[10]
A plane-wave DFT calculation with PBE was carried out for Ho3BiSe2 after structural relaxation.

```
Ho3BiSe2
1.0
-2.2852 3.2653 -1.3060
-0.1246 -3.6237 -2.1079
-7.7746 -3.1153 5.8151
Ho Bi Se
3 1 2
direct
0.0000 0.0000 0.0000
0.6667 0.3333 0.6897
0.3333 0.6667 0.3103
0.0000 0.0000 0.5000
0.6667 0.3333 0.1560
0.3333 0.6667 0.8440
```

Results
The space-group type is P-3m1.


[11]
A plane-wave DFT calculation with PBE was carried out for TbHoBi2Se2 after structural relaxation.

```
TbHoBi2Se2
1.0
4.2712 0.0000 0.0000
0.0000 4.2712 0.0000
0.0000 0.0000 8.9290
Ho Se Tb Bi
1 2 1 2
direct
0.0000 0.0000 0.3048
0.0000 0.0000 0.6249
0.5000 0.5000 0.3727
0.5000 0.5000 0.6958
0.5000 0.0000 0.0009
0.0000 0.5000 0.0009
```

Results
The space-group type is P4mm.


[12]
A plane-wave DFT calculation with PBE was carried out for HoSiBi after structural relaxation.

```
HoSiBi
1.0
-1.9228 -3.7812 2.4699
-4.5379 0.3253 1.8431
-3.6465 -2.6240 -1.9782
Ho Si Bi
1 1 1
direct
0.7500 0.7500 0.7500
0.0000 0.0000 0.0000
0.2500 0.2500 0.2500
```

Results
The space-group type is F-43m.


Number 1: total moment 0.006 μB/cell, E_tot -4.207 eV per atom. Number 2: total moment 0.004 μB/cell, E_tot -5.236 eV per atom. Number 3: total moment 0.003 μB/cell, E_tot -5.308 eV per atom. Number 4: total moment 0.001 μB/cell, E_tot -5.882 eV per atom. Number 5: total moment 0.018 μB/cell, E_tot -4.442 eV per atom. Number 6: total moment 1.699 μB/cell, E_tot -4.733 eV per atom. Number 7: total moment 1.397 μB/cell, E_tot -5.218 eV per atom. Number 8: total moment 0.678 μB/cell, E_tot -5.609 eV per atom. Number 9: total moment 1.057 μB/cell, E_tot -5.625 eV per atom. Number 10: total moment 0.004 μB/cell, E_tot -5.539 eV per atom. Number 11: total moment 0.003 μB/cell, E_tot -5.216 eV per atom. Number 12: total moment 0.010 μB/cell, E_tot -4.770 eV per atom.